Density functional theory data (PBE) for an optimized crystal structure of CaHfZn3.

a b c (Å): 5.167 5.167 5.167
angles (deg): 90.00 90.00 90.00
Positions (direct):
Ca1 0.500 0.500 0.500
Hf1 0.000 0.000 0.000
Zn1 0.000 0.000 0.500
Zn2 0.000 0.500 0.000
Zn3 0.500 0.000 0.000

Output
- formation energy from the elements (eV per atom) = 0.486
- space-group type = Pm-3m
- energy above the lowest structure with this stoichiometry (meV per atom) = 0.0
- spin magnetization (μB/f.u.) = 1.03